Record 1
Below is a relaxed Ca2LaTa crystal, with properties calculated at the PBE level.

Cell lengths 3.3479, 3.3479, 11.2740 Å; angles 90.00, 90.00, 90.00 degrees
With the nearest neighbours (Å) after each atom.
Space group P4mm (No. 99)
Symmetry-distinct sites (fractional):
Ca  0.0000  0.0000  0.0000 (multiplicity 1)  4 Ca 3.35, 4 Ta 3.37
Ca  0.5000  0.5000  0.2897 (multiplicity 1)  4 Ca 3.35
La  0.0000  0.0000  0.5873 (multiplicity 1)  4 Ta 3.27, 4 La 3.35
Ta  0.5000  0.5000  0.7878 (multiplicity 1)  4 La 3.27, 4 Ta 3.35, 4 Ca 3.37

Summary:
Crystal system: tetragonal
ΔE to the lowest computed polymorph: 0 meV per atom
Size of the total moment: 0.000 μB per formula unit
Final energy: -18.95 eV for the cell shown



Record 2
Below is a relaxed CaLa2Ta crystal, with properties calculated at the PBE level.

Cell lengths 5.2046, 5.2046, 4.3634 Å; angles 90.00, 90.00, 90.00 degrees
With the nearest neighbours (Å) after each atom.
Space group P4/mmm (No. 123)
Symmetry-distinct sites (fractional):
Ca  0.0000  0.0000  0.0000 (multiplicity 1)  8 La 3.40, 4 Ta 3.68
La  0.0000  0.5000  0.5000 (multiplicity 2)  4 Ta 3.40, 4 Ca 3.40, 4 La 3.68
Ta  0.5000  0.5000  0.0000 (multiplicity 1)  8 La 3.40, 4 Ca 3.68

Summary:
Crystal system: tetragonal
ΔE to the lowest computed polymorph: 192 meV per atom
Size of the total moment: 0.009 μB per formula unit
Final energy: -21.56 eV for the cell shown